# CoAsPtSe2 | Alexandria | meta-GGA SCAN | single point on PBEsol structure
# ΔE_f (raw)   4.18 eV per formula unit
# Final energy   -143.7 eV per cell
data_CoAsPtSe2
_cell_length_a 5.050
_cell_length_b 5.050
_cell_length_c 4.563
_cell_angle_alpha 90.00
_cell_angle_beta 90.00
_cell_angle_gamma 90.00
_space_group_name_H-M_alt 'P 4/m m m'
_space_group_IT_number 123
_space_group_name_Hall '-P 4 2'
loop_
_atom_site_label
_atom_site_type_symbol
_atom_site_fract_x
_atom_site_fract_y
_atom_site_fract_z
Co1 Co 0.000 0.000 0.000
As1 As 0.500 0.500 0.000
Pt1 Pt 0.500 0.500 0.500
Se1 Se 0.000 0.500 0.500


# RbScCoAs2 | Alexandria | meta-GGA SCAN | single point on PBEsol structure
# ΔH_f (0 K)   2.092 eV/atom
# Final energy   -82.2 eV per cell
data_RbScCoAs2
_cell_length_a 5.332
_cell_length_b 5.332
_cell_length_c 4.879
_cell_angle_alpha 90.00
_cell_angle_beta 90.00
_cell_angle_gamma 90.00
_space_group_name_H-M_alt 'P 4/m m m'
_space_group_IT_number 123
_space_group_name_Hall '-P 4 2'
loop_
_atom_site_label
_atom_site_type_symbol
_atom_site_fract_x
_atom_site_fract_y
_atom_site_fract_z
Rb1 Rb 0.000 0.000 0.000
Sc1 Sc 0.000 0.000 0.500
Co1 Co 0.500 0.500 0.500
As1 As 0.000 0.500 0.000


# RbCoSiAs2 | Alexandria | meta-GGA SCAN | single point on PBEsol structure
# ΔE_f (raw)   3.83 eV per formula unit
# Final energy   -84.6 eV per cell
data_RbCoSiAs2
_cell_length_a 4.545
_cell_length_b 4.545
_cell_length_c 5.201
_cell_angle_alpha 90.00
_cell_angle_beta 90.00
_cell_angle_gamma 90.00
_space_group_name_H-M_alt 'P 4/m m m'
_space_group_IT_number 123
_space_group_name_Hall '-P 4 2'
loop_
_atom_site_label
_atom_site_type_symbol
_atom_site_fract_x
_atom_site_fract_y
_atom_site_fract_z
Rb1 Rb 0.000 0.000 0.000
Co1 Co 0.000 0.000 0.500
Si1 Si 0.500 0.500 0.000
As1 As 0.000 0.500 0.500


# Co2ReAs | Alexandria | meta-GGA SCAN | single point on PBEsol structure
# ΔH_f (0 K)   0.338 eV/atom
# Final energy   -249.1 eV per cell
data_Co2ReAs
_cell_length_a 2.965
_cell_length_b 4.082
_cell_length_c 7.991
_cell_angle_alpha 90.00
_cell_angle_beta 90.00
_cell_angle_gamma 90.00
_space_group_name_H-M_alt 'I m m m'
_space_group_IT_number 71
_space_group_name_Hall '-I 2 2'
loop_
_atom_site_label
_atom_site_type_symbol
_atom_site_fract_x
_atom_site_fract_y
_atom_site_fract_z
Co1 Co 0.000 0.000 0.230
Re1 Re 0.000 0.500 0.000
As1 As 0.000 0.500 0.500


# CoReAs | Alexandria | meta-GGA SCAN | single point on PBEsol structure
# ΔH_f (0 K)   0.342 eV/atom
# Final energy   -430.3 eV per cell
data_CoReAs
_cell_length_a 5.708
_cell_length_b 5.708
_cell_length_c 5.708
_cell_angle_alpha 90.00
_cell_angle_beta 90.00
_cell_angle_gamma 90.00
_space_group_name_H-M_alt 'F -4 3 m'
_space_group_IT_number 216
_space_group_name_Hall 'F -4 2 3'
loop_
_atom_site_label
_atom_site_type_symbol
_atom_site_fract_x
_atom_site_fract_y
_atom_site_fract_z
Co1 Co 0.000 0.000 0.000
Re1 Re 0.250 0.250 0.750
As1 As 0.000 0.000 0.500


# ScCoReAs2 | Alexandria | meta-GGA SCAN | single point on PBEsol structure
# ΔH_f (0 K)   0.721 eV/atom
# Final energy   -139.4 eV per cell
data_ScCoReAs2
_cell_length_a 4.677
_cell_length_b 4.677
_cell_length_c 5.053
_cell_angle_alpha 90.00
_cell_angle_beta 90.00
_cell_angle_gamma 90.00
_space_group_name_H-M_alt 'P 4/m m m'
_space_group_IT_number 123
_space_group_name_Hall '-P 4 2'
loop_
_atom_site_label
_atom_site_type_symbol
_atom_site_fract_x
_atom_site_fract_y
_atom_site_fract_z
Sc1 Sc 0.000 0.000 0.000
Co1 Co 0.500 0.500 0.000
Re1 Re 0.000 0.000 0.500
As1 As 0.000 0.500 0.500


# CoAsRh2 | Alexandria | meta-GGA SCAN | single point on PBEsol structure
# ΔH_f (0 K)   0.262 eV/atom
# Final energy   -208.0 eV per cell
data_CoAsRh2
_cell_length_a 2.768
_cell_length_b 4.679
_cell_length_c 8.340
_cell_angle_alpha 90.00
_cell_angle_beta 90.00
_cell_angle_gamma 90.00
_space_group_name_H-M_alt 'C m m 2'
_space_group_IT_number 35
loop_
_space_group_symop_operation_xyz
'x,y,z'
'-x,-y,z'
'-x,y,z'
'x,-y,z'
'x+1/2,y+1/2,z'
'-x+1/2,-y+1/2,z'
'-x+1/2,y+1/2,z'
'x+1/2,-y+1/2,z'
loop_
_atom_site_label
_atom_site_type_symbol
_atom_site_fract_x
_atom_site_fract_y
_atom_site_fract_z
Co1 Co 0.000 0.000 0.000
As1 As 0.000 0.500 0.230
Rh1 Rh 0.000 0.000 0.478
Rh2 Rh 0.000 0.500 0.752


# CoAsRh2 | Alexandria | meta-GGA SCAN | single point on PBEsol structure
# ΔH_f (0 K)   -0.230 eV/atom
# Final energy   -211.9 eV per cell
data_CoAsRh2
_cell_length_a 3.839
_cell_length_b 3.839
_cell_length_c 6.983
_cell_angle_alpha 90.00
_cell_angle_beta 90.00
_cell_angle_gamma 90.00
_space_group_name_H-M_alt 'I 4/m m m'
_space_group_IT_number 139
_space_group_name_Hall '-I 4 2'
loop_
_atom_site_label
_atom_site_type_symbol
_atom_site_fract_x
_atom_site_fract_y
_atom_site_fract_z
Co1 Co 0.000 0.000 0.000
As1 As 0.000 0.000 0.500
Rh1 Rh 0.000 0.500 0.250


# CoAsRh2 | Alexandria | meta-GGA SCAN | single point on PBEsol structure
# ΔH_f (0 K)   -0.120 eV/atom
# Final energy   -105.5 eV per cell
data_CoAsRh2
_cell_length_a 2.766
_cell_length_b 3.792
_cell_length_c 5.191
_cell_angle_alpha 90.00
_cell_angle_beta 102.29
_cell_angle_gamma 90.00
_space_group_name_H-M_alt 'P 1 2/m 1'
_space_group_IT_number 10
loop_
_space_group_symop_operation_xyz
'x,y,z'
'-x,-y,-z'
'-x,y,-z'
'x,-y,z'
loop_
_atom_site_label
_atom_site_type_symbol
_atom_site_fract_x
_atom_site_fract_y
_atom_site_fract_z
Co1 Co 0.000 0.000 0.000
As1 As 0.000 0.000 0.500
Rh1 Rh 0.388 0.500 0.748


# CoAsRh | Alexandria | meta-GGA SCAN | single point on PBEsol structure
# ΔH_f (0 K)   -0.302 eV/atom
# Final energy   -288.7 eV per cell
data_CoAsRh
_cell_length_a 5.505
_cell_length_b 5.505
_cell_length_c 5.505
_cell_angle_alpha 90.00
_cell_angle_beta 90.00
_cell_angle_gamma 90.00
_space_group_name_H-M_alt 'F -4 3 m'
_space_group_IT_number 216
_space_group_name_Hall 'F -4 2 3'
loop_
_atom_site_label
_atom_site_type_symbol
_atom_site_fract_x
_atom_site_fract_y
_atom_site_fract_z
Co1 Co 0.000 0.000 0.000
As1 As 0.250 0.250 0.250
Rh1 Rh 0.000 0.000 0.500


# CoAsRh | Alexandria | meta-GGA SCAN | single point on PBEsol structure
# ΔH_f (0 K)   -0.327 eV/atom
# Final energy   -289.0 eV per cell
data_CoAsRh
_cell_length_a 5.836
_cell_length_b 3.740
_cell_length_c 6.922
_cell_angle_alpha 90.00
_cell_angle_beta 90.00
_cell_angle_gamma 90.00
_space_group_name_H-M_alt 'P n m a'
_space_group_IT_number 62
loop_
_space_group_symop_operation_xyz
'x,y,z'
'-x,-y,-z'
'-x+1/2,-y,z+1/2'
'x+1/2,y,-z+1/2'
'x+1/2,-y+1/2,-z+1/2'
'-x+1/2,y+1/2,z+1/2'
'-x,y+1/2,-z'
'x,-y+1/2,z'
loop_
_atom_site_label
_atom_site_type_symbol
_atom_site_fract_x
_atom_site_fract_y
_atom_site_fract_z
Co1 Co 0.145 0.250 0.061
As1 As 0.238 0.750 0.874
Rh1 Rh 0.034 0.250 0.671


# Co4AsRh | Alexandria | meta-GGA SCAN | single point on PBEsol structure
# ΔH_f (0 K)   0.240 eV/atom
# Final energy   -487.0 eV per cell
data_Co4AsRh
_cell_length_a 6.592
_cell_length_b 6.592
_cell_length_c 6.592
_cell_angle_alpha 90.00
_cell_angle_beta 90.00
_cell_angle_gamma 90.00
_space_group_name_H-M_alt 'F -4 3 m'
_space_group_IT_number 216
_space_group_name_Hall 'F -4 2 3'
loop_
_atom_site_label
_atom_site_type_symbol
_atom_site_fract_x
_atom_site_fract_y
_atom_site_fract_z
Co1 Co 0.125 0.125 0.125
As1 As 0.250 0.250 0.750
Rh1 Rh 0.000 0.000 0.500


# CoAsRu | Alexandria | meta-GGA SCAN | single point on PBEsol structure
# ΔH_f (0 K)   0.158 eV/atom
# Final energy   -287.4 eV per cell
# Excess energy over the best structure of this formula in the dataset   0.000 eV/atom
data_CoAsRu
_cell_length_a 5.546
_cell_length_b 5.546
_cell_length_c 5.546
_cell_angle_alpha 90.00
_cell_angle_beta 90.00
_cell_angle_gamma 90.00
_space_group_name_H-M_alt 'F -4 3 m'
_space_group_IT_number 216
_space_group_name_Hall 'F -4 2 3'
loop_
_atom_site_label
_atom_site_type_symbol
_atom_site_fract_x
_atom_site_fract_y
_atom_site_fract_z
Co1 Co 0.000 0.000 0.000
As1 As 0.250 0.250 0.250
Ru1 Ru 0.250 0.250 0.750


# Co2AsRu | Alexandria | meta-GGA SCAN | single point on PBEsol structure
# ΔH_f (0 K)   0.206 eV/atom
# Final energy   -88.8 eV per cell
data_Co2AsRu
_cell_length_a 2.680
_cell_length_b 3.745
_cell_length_c 4.959
_cell_angle_alpha 90.00
_cell_angle_beta 104.63
_cell_angle_gamma 90.00
_space_group_name_H-M_alt 'P 1 2/m 1'
_space_group_IT_number 10
loop_
_space_group_symop_operation_xyz
'x,y,z'
'-x,-y,-z'
'-x,y,-z'
'x,-y,z'
loop_
_atom_site_label
_atom_site_type_symbol
_atom_site_fract_x
_atom_site_fract_y
_atom_site_fract_z
Co1 Co 0.119 0.000 0.255
As1 As 0.500 0.500 0.500
Ru1 Ru 0.500 0.500 0.000